Entry 1:
Compound: MnGePdRh
Source: the Alexandria database
Functional: GGA-PBE
Structure: optimized geometry

Output
**Energy relative to the elements**: -0.333 eV per atom

Structure (POSCAR):
```
MnGePdRh
1.0
0.000 3.073 3.073
3.073 0.000 3.073
3.073 3.073 0.000
Mn Ge Pd Rh
1 1 1 1
Cartesian
0.000 0.000 0.000 Mn
3.073 3.073 3.073 Ge
4.609 4.609 4.609 Pd
1.536 1.536 1.536 Rh
```

Entry 2:
Compound: Li3Zn2Sn3
Source: the Alexandria database
Functional: GGA-PBE
Structure: optimized geometry

Output
**Energy relative to the elements**: -0.168 eV per atom

Structure (POSCAR):
```
Li3Zn2Sn3
1.0
2.304 -4.240 0.000
2.304 4.240 0.000
0.000 0.000 17.310
Li Zn Sn
6 4 6
Cartesian
2.304 4.217 11.524 Li
2.304 4.217 14.441 Li
2.304 1.607 12.983 Li
2.304 -1.607 4.328 Li
2.304 -4.217 2.869 Li
2.304 -4.217 5.786 Li
2.304 1.826 1.643 Zn
2.304 1.826 7.012 Zn
2.304 -1.826 10.298 Zn
2.304 -1.826 15.667 Zn
2.304 1.136 4.328 Sn
2.304 0.960 9.821 Sn
2.304 0.960 16.144 Sn
2.304 -0.960 1.166 Sn
2.304 -0.960 7.489 Sn
2.304 -1.136 12.983 Sn
```

Entry 3:
Compound: Tl2MoSe
Source: the Alexandria database
Functional: GGA-PBE
Structure: optimized geometry

Output
**Formation energy (no corrections)**: 0.0762 eV/atom
**Offset from the most stable computed form**: 0 meV per atom

Structure (POSCAR):
```
Tl2MoSe
1.0
3.197 0.000 0.000
0.000 3.197 0.000
0.000 0.000 9.173
Tl Mo Se
2 1 1
Cartesian
0.000 0.000 0.000 Tl
1.599 1.599 2.746 Tl
0.000 0.000 4.906 Mo
1.599 1.599 6.195 Se
```

Entry 4:
Compound: KRe
Source: the Alexandria database
Functional: GGA-PBE
Structure: optimized geometry

Output
**Offset from the most stable computed form**: 223 meV per atom
**Energy relative to the elements**: 1.053 eV per atom

Structure (POSCAR):
```
KRe
1.0
8.708 0.000 0.000
0.000 4.828 0.000
0.000 0.000 11.818
K Re
8 8
Cartesian
0.391 1.207 1.377 K
1.558 1.207 8.502 K
2.796 3.621 2.593 K
3.963 3.621 7.286 K
4.745 1.207 4.533 K
5.912 1.207 9.225 K
7.150 3.621 3.316 K
8.317 3.621 10.442 K
0.855 3.621 5.630 Re
1.170 1.207 5.067 Re
3.184 3.621 10.976 Re
3.499 1.207 11.540 Re
5.209 3.621 0.279 Re
5.524 1.207 0.842 Re
7.537 3.621 6.752 Re
7.853 1.207 6.188 Re
```

Entry 5:
Compound: TbNd6Y2Ho
Source: the Alexandria database
Functional: GGA-PBE
Structure: optimized geometry

Output
**Energy relative to the elements**: 0.118 eV per atom

Structure (POSCAR):
```
TbNd6Y2Ho
1.0
4.683 -7.675 0.000
4.683 7.675 0.000
-1.090 0.000 9.538
Tb Nd Y Ho
2 12 4 2
Cartesian
3.866 7.198 7.154 Tb
4.411 -7.198 2.385 Tb
1.922 4.259 6.563 Nd
4.057 4.974 0.538 Nd
4.764 4.974 4.231 Nd
2.826 1.718 8.428 Nd
5.809 4.259 7.745 Nd
4.905 1.718 5.880 Nd
3.371 -1.718 3.658 Nd
2.467 -4.259 1.793 Nd
5.450 -1.718 1.111 Nd
3.512 -4.974 5.307 Nd
4.219 -4.974 9.001 Nd
6.354 -4.259 2.976 Nd
1.744 0.732 5.228 Y
2.289 -0.732 0.459 Y
5.987 0.732 9.080 Y
6.532 -0.732 4.310 Y
4.411 1.361 2.385 Ho
3.866 -1.361 7.154 Ho
```

Entry 6:
Compound: TlAg2PtBr8
Source: the Alexandria database
Functional: GGA-PBE
Structure: optimized geometry

Output
**Formation energy (no corrections)**: -0.3367 eV/atom

Structure (POSCAR):
```
TlAg2PtBr8
1.0
6.610 0.000 0.000
0.132 6.628 0.000
1.095 0.939 8.568
Tl Ag Pt Br
1 2 1 8
Cartesian
0.000 0.000 0.000 Tl
3.039 3.059 1.978 Ag
4.799 4.509 6.590 Ag
0.548 0.470 4.284 Pt
1.970 5.833 6.040 Br
1.992 5.919 2.484 Br
2.261 2.307 4.357 Br
3.188 3.075 8.188 Br
4.650 4.492 0.380 Br
5.577 5.260 4.211 Br
5.846 1.648 6.084 Br
5.868 1.734 2.528 Br
```

Entry 7:
Compound: CrBi2Au2
Source: the Alexandria database
Functional: GGA-PBE
Structure: optimized geometry

Output
**Offset from the most stable computed form**: 434 meV per atom
**Energy relative to the elements**: 0.615 eV per atom

Structure (POSCAR):
```
CrBi2Au2
1.0
7.394 0.000 0.000
0.000 7.394 0.000
0.000 0.000 4.253
Cr Bi Au
2 4 4
Cartesian
0.000 0.000 0.000 Cr
3.697 3.697 0.000 Cr
1.284 2.413 0.000 Bi
2.413 6.110 0.000 Bi
4.981 1.284 0.000 Bi
6.110 4.981 0.000 Bi
1.010 4.707 2.127 Au
2.687 1.010 2.127 Au
4.707 6.385 2.127 Au
6.385 2.687 2.127 Au
```

Entry 8:
Compound: LaAsBr
Source: the Alexandria database
Functional: GGA-PBE
Structure: optimized geometry

Output
**Formation energy (no corrections)**: -1.0697 eV/atom
**Offset from the most stable computed form**: 206 meV per atom

Structure (POSCAR):
```
LaAsBr
1.0
-2.030 2.030 5.320
2.030 -2.030 5.320
2.030 2.030 -5.320
La As Br
1 1 1
Cartesian
0.000 0.000 0.000 La
0.000 0.000 6.328 As
0.000 0.000 3.346 Br
```

Entry 9:
Compound: BaReH9
Source: the Alexandria database
Functional: GGA-PBE
Structure: optimized geometry

Output
**Offset from the most stable computed form**: 67 meV per atom

Structure (POSCAR):
```
BaReH9
1.0
3.498 2.020 2.474
-3.498 2.020 2.474
0.000 -4.039 2.474
Ba Re H
1 1 9
Cartesian
0.000 0.000 0.000 Ba
0.000 0.000 3.711 Re
-1.203 0.094 2.503 H
-0.839 -1.453 3.711 H
0.520 -1.089 2.503 H
-1.203 -0.094 4.918 H
-0.839 1.453 3.711 H
0.683 0.994 2.503 H
0.683 -0.994 4.918 H
1.678 0.000 3.711 H
0.520 1.089 4.918 H
```

Entry 10:
Compound: Li6Mg3In
Source: the Alexandria database
Functional: GGA-PBE
Structure: optimized geometry

Output
**Offset from the most stable computed form**: 0 meV per atom
**Energy relative to the elements**: -0.120 eV per atom

Structure (POSCAR):
```
Li6Mg3In
1.0
8.332 0.000 0.000
0.000 4.782 0.000
-2.815 0.000 9.828
Li Mg In
12 6 2
Cartesian
-0.756 1.195 3.918 Li
0.644 3.586 1.837 Li
-0.773 1.195 6.884 Li
-0.838 1.195 9.762 Li
0.606 3.586 7.842 Li
1.994 1.195 5.959 Li
3.524 3.586 3.869 Li
4.912 1.195 1.987 Li
6.355 3.586 0.066 Li
6.291 3.586 2.944 Li
4.873 1.195 7.991 Li
6.274 3.586 5.910 Li
0.756 3.586 4.844 Mg
2.054 1.195 2.916 Mg
3.458 3.586 0.919 Mg
2.060 1.195 8.910 Mg
3.464 3.586 6.912 Mg
4.762 1.195 4.984 Mg
-2.108 3.586 8.773 In
7.626 1.195 1.055 In
```

Entry 11:
Compound: Sc3NiMo
Source: the Alexandria database
Functional: GGA-PBE
Structure: optimized geometry

Output
**Offset from the most stable computed form**: 309 meV per atom
**Energy relative to the elements**: 0.727 eV per atom

Structure (POSCAR):
```
Sc3NiMo
1.0
4.915 0.000 0.000
0.000 4.915 0.000
0.000 0.000 4.915
Sc Ni Mo
3 1 1
Cartesian
0.000 0.000 2.458 Sc
0.000 2.458 0.000 Sc
2.458 0.000 0.000 Sc
2.458 2.458 2.458 Ni
0.000 0.000 0.000 Mo
```

Entry 12:
Compound: PmSnPt2
Source: the Alexandria database
Functional: GGA-PBE
Structure: optimized geometry

Output
**Energy relative to the elements**: -0.732 eV per atom

Structure (POSCAR):
```
PmSnPt2
1.0
3.578 0.000 0.000
0.000 3.578 0.000
0.000 0.000 6.625
Pm Sn Pt
1 1 2
Cartesian
0.000 0.000 0.000 Pm
0.000 0.000 3.313 Sn
1.789 1.789 1.788 Pt
1.789 1.789 4.837 Pt
```

Number 1: final energy -6.9160 eV per atom. Number 2: final energy -2.7056 eV per atom. Number 3: final energy -4.6858 eV per atom. Number 4: final energy -5.7194 eV per atom. Number 5: final energy -4.9566 eV per atom. Number 6: final energy -2.6277 eV per atom. Number 7: final energy -4.1730 eV per atom. Number 8: final energy -4.8196 eV per atom. Number 9: final energy -4.2861 eV per atom. Number 10: final energy -2.0201 eV per atom. Number 11: final energy -6.3941 eV per atom. Number 12: final energy -5.9412 eV per atom.